Y2TlW | GGA-PBE | relaxed

Properties
formation energy from the elements: 0.985 eV per atom
calculated total energy: -6.077 eV/atom
offset from the most stable computed form: 75.4 kJ per mole of atoms

The structure in CIF format:
```
data_Y2TlW
_chemical_formula_sum 'Y8 Tl4 W4'
_cell_length_a 4.425
_cell_length_b 4.425
_cell_length_c 21.112
_cell_angle_alpha 90.00
_cell_angle_beta 90.00
_cell_angle_gamma 90.00
_symmetry_space_group_name_H-M 'I -4 2 d'
_symmetry_Int_Tables_number 122
_symmetry_space_group_name_Hall 'I -4 2bw'
loop_
_atom_site_label
_atom_site_type_symbol
_atom_site_fract_x
_atom_site_fract_y
_atom_site_fract_z
Y1 Y 0.238 0.250 0.125
Tl1 Tl 0.000 0.000 0.500
W1 W 0.000 0.000 0.000
```